[1]
Entry from the Alexandria database: a relaxed Hg2WF11 crystal (PBE+U).

As for the raw total energy: -3.875 eV per atom.

Cell lengths 6.7247, 11.8792, 11.6737 Å; angles 90.00, 90.00, 90.00 degrees
Space group Ibam (No. 72)
Symmetry-distinct sites (fractional):
Hg  0.1957  0.1389  0.0000 x8
W  0.0000  0.5000  0.2500 x4
F  0.0000  0.0000  0.0000 x4
F  0.0862  0.3999  0.1313 x16
F  0.1078  0.2260  0.5000 x8
F  0.2495  0.0802  0.1875 x16

[2]
Entry from the Alexandria database: a relaxed HgW3F crystal (PBE+U).

The offset from the most stable computed form is 0.0000 eV/atom.

Cell lengths 4.3526, 4.3526, 4.3526 Å; angles 90.00, 90.00, 90.00 degrees
Space group Pm-3m (No. 221)
Symmetry-distinct sites (fractional):
Hg  0.0000  0.0000  0.0000 x1
W  0.0000  0.5000  0.5000 x3
F  0.5000  0.5000  0.5000 x1

[3]
Entry from the Alexandria database: a relaxed Hg2WF5 crystal (PBE+U).

As for the raw total energy: -4.085 eV per atom.

Cell lengths 4.2776, 6.5071, 6.7560 Å; angles 84.34, 71.60, 71.46 degrees
Space group P1 (No. 1)
Symmetry-distinct sites (fractional):
Hg  0.0000  0.0000  0.0000 x1
Hg  0.3617  0.9971  0.2797 x1
W  0.1861  0.4977  0.6399 x1
F  0.0327  0.4987  0.9463 x1
F  0.0431  0.8230  0.6398 x1
F  0.3287  0.1727  0.6400 x1
F  0.3394  0.4975  0.3335 x1
F  0.6861  0.4976  0.6399 x1

[4]
Entry from the Alexandria database: a relaxed HgWF2 crystal (PBE+U).

The offset from the most stable computed form is 0.1351 eV/atom.

Cell lengths 5.2203, 5.2203, 13.9412 Å; angles 90.00, 90.00, 90.00 degrees
Space group I-42d (No. 122)
Symmetry-distinct sites (fractional):
Hg  0.0000  0.0000  0.0000 x4
W  0.0000  0.0000  0.5000 x4
F  0.0020  0.2500  0.6250 x8

[5]
Entry from the Alexandria database: a relaxed HgWF3 crystal (PBE+U).

The offset from the most stable computed form is 1.4259 eV/atom.

Cell lengths 4.5613, 4.5613, 4.5613 Å; angles 90.00, 90.00, 90.00 degrees
Space group Pm-3m (No. 221)
Symmetry-distinct sites (fractional):
Hg  0.0000  0.0000  0.0000 x1
W  0.5000  0.5000  0.5000 x1
F  0.0000  0.0000  0.5000 x3